Material: Nb2Te4WS2
Method: DFT, PBE
State: relaxed

Results
**Formation energy from raw total energies**: -0.454 eV per atom

Cell: 3.4440 3.4440 23.5047 Å, 90.00 90.00 120.00°
Fractional positions:
1 Nb 0.0000 0.0000 0.0000
2 Nb 0.3333 0.6667 0.3407
3 Te 0.0000 0.0000 0.2569
4 Te 0.0000 0.0000 0.4246
5 Te 0.3333 0.6667 0.0838
6 Te 0.3333 0.6667 0.9161
7 W 0.3333 0.6667 0.6839
8 S 0.0000 0.0000 0.6204
9 S 0.0000 0.0000 0.7474